# Cs2TaMnBe, optimized geometry, DFT GGA-PBE
# Crystal system: tetragonal
# Formation energy from the elements (eV per atom): 1.74
data_Cs2TaMnBe
_space_group_name_H-M_alt 'P 4/m m m'
_space_group_IT_number 123
_space_group_name_Hall '-P 4 2'
_cell_length_a 6.9303
_cell_length_b 6.9303
_cell_length_c 4.5942
_cell_angle_alpha 90.00
_cell_angle_beta 90.00
_cell_angle_gamma 90.00
loop_
_atom_site_label
_atom_site_fract_x
_atom_site_fract_y
_atom_site_fract_z
_atom_site_occupancy
Cs1 0.0000 0.5000 0.0000 1
Ta1 0.0000 0.0000 0.5000 1
Mn1 0.0000 0.0000 0.0000 1
Be1 0.5000 0.5000 0.5000 1

---

# CsMnBeTe3, optimized geometry, DFT GGA-PBE
# Uncorrected formation energy (meV/atom): -454
# Crystal system: monoclinic
data_CsMnBeTe3
_space_group_name_H-M_alt 'P 1 21/m 1'
_space_group_IT_number 11
_space_group_name_Hall '-P 2yb'
_cell_length_a 10.1354
_cell_length_b 4.0323
_cell_length_c 10.7604
_cell_angle_alpha 90.00
_cell_angle_beta 112.20
_cell_angle_gamma 90.00
loop_
_atom_site_label
_atom_site_fract_x
_atom_site_fract_y
_atom_site_fract_z
_atom_site_occupancy
Cs1 0.2054 0.2500 0.2335 1
Mn1 0.3459 0.7500 0.8770 1
Be1 0.0822 0.2500 0.5951 1
Te1 0.1517 0.2500 0.8444 1
Te2 0.1821 0.7500 0.5274 1
Te3 0.4889 0.7500 0.1571 1

---

# CsMnBe2Te, optimized geometry, DFT GGA-PBE
# Uncorrected formation energy (meV/atom): 641
# Crystal system: tetragonal
data_CsMnBe2Te
_space_group_name_H-M_alt 'P 4/m m m'
_space_group_IT_number 123
_space_group_name_Hall '-P 4 2'
_cell_length_a 4.7981
_cell_length_b 4.7981
_cell_length_c 4.7993
_cell_angle_alpha 90.00
_cell_angle_beta 90.00
_cell_angle_gamma 90.00
loop_
_atom_site_label
_atom_site_fract_x
_atom_site_fract_y
_atom_site_fract_z
_atom_site_occupancy
Cs1 0.0000 0.0000 0.0000 1
Mn1 0.5000 0.5000 0.5000 1
Be1 0.0000 0.5000 0.5000 1
Te1 0.5000 0.5000 0.0000 1

---

# CsMnBe2V, optimized geometry, DFT GGA-PBE
# Crystal system: tetragonal
# Formation energy from the elements (eV per atom): 2.74
data_CsMnBe2V
_space_group_name_H-M_alt 'P 4/m m m'
_space_group_IT_number 123
_space_group_name_Hall '-P 4 2'
_cell_length_a 4.9203
_cell_length_b 4.9203
_cell_length_c 5.1069
_cell_angle_alpha 90.00
_cell_angle_beta 90.00
_cell_angle_gamma 90.00
loop_
_atom_site_label
_atom_site_fract_x
_atom_site_fract_y
_atom_site_fract_z
_atom_site_occupancy
Cs1 0.0000 0.0000 0.0000 1
Mn1 0.5000 0.5000 0.5000 1
Be1 0.0000 0.5000 0.0000 1
V1 0.0000 0.0000 0.5000 1

---

# CsBeMo2, optimized geometry, DFT GGA-PBE
# Crystal system: tetragonal
# Formation energy from the elements (eV per atom): 1.75
data_CsBeMo2
_space_group_name_H-M_alt 'I -4 2 d'
_space_group_IT_number 122
_space_group_name_Hall 'I -4 2bw'
_cell_length_a 4.5463
_cell_length_b 4.5463
_cell_length_c 18.2393
_cell_angle_alpha 90.00
_cell_angle_beta 90.00
_cell_angle_gamma 90.00
loop_
_atom_site_label
_atom_site_fract_x
_atom_site_fract_y
_atom_site_fract_z
_atom_site_occupancy
Cs1 0.0000 0.0000 0.0000 1
Be1 0.0000 0.0000 0.5000 1
Mo1 0.0903 0.7500 0.6250 1

---

# CsNa2BeMo, optimized geometry, DFT GGA-PBE
# Crystal system: tetragonal
# Formation energy from the elements (eV per atom): 2.15
data_CsNa2BeMo
_space_group_name_H-M_alt 'P 4/m m m'
_space_group_IT_number 123
_space_group_name_Hall '-P 4 2'
_cell_length_a 5.9203
_cell_length_b 5.9203
_cell_length_c 5.3481
_cell_angle_alpha 90.00
_cell_angle_beta 90.00
_cell_angle_gamma 90.00
loop_
_atom_site_label
_atom_site_fract_x
_atom_site_fract_y
_atom_site_fract_z
_atom_site_occupancy
Cs1 0.0000 0.0000 0.0000 1
Na1 0.0000 0.5000 0.0000 1
Be1 0.5000 0.5000 0.5000 1
Mo1 0.0000 0.0000 0.5000 1